(1)
A plane-wave DFT calculation with GGA-PBE was carried out for a relaxed structure of TaCd2Ru.

The calculation puts the density of states at the Fermi level at 0.6224 states/eV/atom. As for the relative energy among the computed polymorphs: 1.10 eV per formula unit. The value obtained for the calculated volume is 17.945 Å³/atom. The formation energy comes out at 1.15 eV per formula unit.

The structure in CIF format:
```
data_TaCd2Ru
_chemical_formula_sum 'Ta1 Cd2 Ru1'
_symmetry_space_group_name_H-M 'P 4/m m m'
_symmetry_Int_Tables_number 123
_symmetry_space_group_name_Hall '-P 4 2'
_cell_length_a 3.905
_cell_length_b 3.905
_cell_length_c 4.706
_cell_angle_alpha 90.00
_cell_angle_beta 90.00
_cell_angle_gamma 90.00
loop_
_atom_site_label
_atom_site_fract_x
_atom_site_fract_y
_atom_site_fract_z
_atom_site_occupancy
Ta1 0.000 0.000 0.000 1
Cd1 0.000 0.500 0.500 1
Ru1 0.500 0.500 0.000 1
```



(2)
A plane-wave DFT calculation with GGA-PBE was carried out for a relaxed structure of Mg2CrFe.

The calculation puts the density of states at the Fermi level at 1.0429 states/eV/atom. As for the relative energy among the computed polymorphs: 1.08 eV per formula unit. The value obtained for the calculated volume is 16.174 Å³/atom. The formation energy comes out at 1.86 eV per formula unit.

The structure in CIF format:
```
data_Mg2CrFe
_chemical_formula_sum 'Mg8 Cr4 Fe4'
_symmetry_space_group_name_H-M 'F m -3 m'
_symmetry_Int_Tables_number 225
_symmetry_space_group_name_Hall '-F 4 2 3'
_cell_length_a 6.372
_cell_length_b 6.372
_cell_length_c 6.372
_cell_angle_alpha 90.00
_cell_angle_beta 90.00
_cell_angle_gamma 90.00
loop_
_atom_site_label
_atom_site_fract_x
_atom_site_fract_y
_atom_site_fract_z
_atom_site_occupancy
Mg1 0.250 0.250 0.250 1
Cr1 0.000 0.000 0.000 1
Fe1 0.000 0.000 0.500 1
```